{"formula": "CsK2BaSe", "functional": "PBE", "state": "optimized geometry", "lattice_angstrom": [[6.960, 0.000, 0.000], [0.000, 6.960, 0.000], [0.000, 0.000, 6.508]], "species": ["Cs", "K", "K", "Ba", "Se"], "frac_coords": [[0.000, 0.000, 0.000], [0.000, 0.500, 0.000], [0.500, 0.000, 0.000], [0.500, 0.500, 0.500], [0.000, 0.000, 0.500]], "sg": "P4/mmm", "dos_ef_per_ev_cell": 5.43, "relative_energy_ev_per_atom": 0.600, "total_magnetization_mub_per_cell": 0.00, "energy_ev_per_atom": -1.678, "raw_formation_energy_ev_per_atom": 0.01}